No. 1
The following is a PBE calculation of a relaxed TcTeSe crystal, from Alexandria.

POSCAR file:
```
TcTeSe
1.0
-2.138 1.043 2.314
-0.930 -2.303 -2.201
2.313 -5.226 4.492
Se Tc Te
1 1 1
Cartesian
0.216 -0.488 0.419
-1.013 -1.705 2.212
0.042 -4.294 1.974
```

**Energy relative to the elements, uncorrected**: -0.33 eV/f.u.
**Final energy**: -5.77 eV/atom
**Distance to the lowest polymorph of the same formula**: 223 meV/atom
**Magnetic moment**: 0.000 μB/f.u.

***

No. 2
The following is a PBE calculation of a relaxed Ce6Pb2N crystal, from Alexandria.

POSCAR file:
```
Ce6Pb2N
1.0
-5.129 3.642 2.138
-4.285 -4.428 -2.737
-0.115 -5.304 8.762
Ce N Pb
12 2 4
Cartesian
-4.731 -1.616 1.719
-6.956 -3.392 3.844
-4.294 -2.519 -1.580
-5.234 -3.571 9.743
-2.192 -0.347 -0.238
-4.773 -1.136 5.238
-7.336 -5.744 8.401
-5.211 -0.234 8.536
-4.797 -4.475 6.444
-2.572 -2.698 4.319
-4.755 -4.954 2.925
-4.317 -5.857 -0.373
-0.057 -2.652 4.381
-4.707 -0.393 -0.299
-6.878 -3.863 0.410
-2.229 -6.122 5.090
-2.651 -2.227 7.753
-7.300 0.032 3.073
```

**Energy relative to the elements, uncorrected**: -5.00 eV/f.u.
**Final energy**: -6.26 eV/atom
**Distance to the lowest polymorph of the same formula**: 0 meV/atom
**Magnetic moment**: 3.539 μB/f.u.

***

Question: What is the formula in the first record?
Answer: TcTeSe